Material: MnCu2F8
Method: DFT, GGA+U
State: relaxed

It has space group C2/m (No. 12), with a = 16.7733 Å, b = 5.0545 Å, c = 3.7446 Å, α = 90.00°, β = 101.71° and γ = 90.00°. The distinct sites, in fractional coordinates, are Mn at (0.0000, 0.0000, 0.0000), Cu at (0.1733, 0.0000, 0.4217), F at (0.0659, 0.2398, 0.2964), F at (0.1640, 0.0000, 0.9116) and F at (0.2165, 0.5000, 0.4745).

The value obtained for the density of states at the Fermi level is 9.6 states/eV/cell. Its calculated total energy is -4.41 eV per atom.

---

Material: Mn2CuF6
Method: DFT, GGA+U
State: relaxed

It has space group P4_2/mnm (No. 136), with a = 4.8478 Å, b = 4.8478 Å, c = 9.8969 Å, α = 90.00°, β = 90.00° and γ = 90.00°. The distinct sites, in fractional coordinates, are Mn at (0.0000, 0.0000, 0.1664), Cu at (0.0000, 0.0000, 0.5000), F at (0.1956, 0.1956, 0.3352) and F at (0.2043, 0.2043, 0.0000).

The value obtained for the density of states at the Fermi level is 10.7 states/eV/cell. Its calculated total energy is -5.65 eV per atom.

---

Material: MnCu2F8
Method: DFT, GGA+U
State: relaxed

It has space group P-3m1 (No. 164), with a = 6.2000 Å, b = 6.2000 Å, c = 3.9221 Å, α = 90.00°, β = 90.00° and γ = 120.00°. The distinct sites, in fractional coordinates, are Mn at (0.0000, 0.0000, 0.0000), Cu at (0.3333, 0.6667, 0.7690), F at (0.1502, 0.3004, 0.7532) and F at (0.3333, 0.6667, 0.2675).

The value obtained for the density of states at the Fermi level is 6.5 states/eV/cell. Its calculated total energy is -4.46 eV per atom.

---

Material: Mn4Cu6F19
Method: DFT, GGA+U
State: relaxed

It has space group I23 (No. 197), with a = 8.9629 Å, b = 8.9629 Å, c = 8.9629 Å, α = 90.00°, β = 90.00° and γ = 90.00°. The distinct sites, in fractional coordinates, are Mn at (0.1401, 0.1401, 0.1401), Cu at (0.0000, 0.1817, 0.5000), F at (0.0000, 0.0000, 0.0000), F at (0.0000, 0.0000, 0.2981) and F at (0.0629, 0.2957, 0.3132).

The value obtained for the density of states at the Fermi level is 9.5 states/eV/cell. Its calculated total energy is -4.99 eV per atom.

---

Material: MnCuF5
Method: DFT, GGA+U
State: relaxed

It has space group C2/c (No. 15), with a = 8.6797 Å, b = 6.1551 Å, c = 7.4201 Å, α = 90.00°, β = 114.73° and γ = 90.00°. The distinct sites, in fractional coordinates, are Mn at (0.0000, 0.0404, 0.2500), Cu at (0.0000, 0.5000, 0.0000), F at (0.0000, 0.3815, 0.2500), F at (0.0141, 0.1948, 0.9530) and F at (0.2327, 0.0420, 0.3566).

The value obtained for the density of states at the Fermi level is 9.5 states/eV/cell. Its calculated total energy is -4.98 eV per atom.

---

Material: Mn2CuF
Method: DFT, GGA+U
State: relaxed

It has space group Fm-3m (No. 225), with a = 6.2787 Å, b = 6.2787 Å, c = 6.2787 Å, α = 90.00°, β = 90.00° and γ = 90.00°. The distinct sites, in fractional coordinates, are Mn at (0.2500, 0.2500, 0.2500), Cu at (0.0000, 0.0000, 0.0000) and F at (0.0000, 0.0000, 0.5000).

The value obtained for the density of states at the Fermi level is 6.7 states/eV/cell. The distance to the lowest polymorph of the same formula comes out at 210 meV/atom.

---

What did the third record say?
Material: MnCu2F8
Method: DFT, GGA+U
State: relaxed

It has space group P-3m1 (No. 164), with a = 6.2000 Å, b = 6.2000 Å, c = 3.9221 Å, α = 90.00°, β = 90.00° and γ = 120.00°. The distinct sites, in fractional coordinates, are Mn at (0.0000, 0.0000, 0.0000), Cu at (0.3333, 0.6667, 0.7690), F at (0.1502, 0.3004, 0.7532) and F at (0.3333, 0.6667, 0.2675).

The value obtained for the density of states at the Fermi level is 6.5 states/eV/cell. Its calculated total energy is -4.46 eV per atom.